A PBEsol-optimized structure of TlIr2Pt. Source: Alexandria via LeMat-Bulk, functional SCAN.

## Properties
formation enthalpy at 0 K = 475 meV per atom
DFT total energy = -282.9 eV for the cell shown
space group = No. 47
ΔE to the lowest computed polymorph = 0.000 eV/atom

Cell: 2.8081 4.7728 4.7900 Å, 90.00 90.00 90.00°
Positions (direct):
1 Ir 0.0000 0.0000 0.0000
2 Ir 0.5000 0.0000 0.5000
3 Pt 0.5000 0.5000 0.0000
4 Tl 0.0000 0.5000 0.5000


A PBEsol-optimized structure of Re2SiTe. Source: Alexandria via LeMat-Bulk, functional SCAN.

## Properties
DFT total energy = -187.6 eV for the cell shown
space group = No. 12
ΔE to the lowest computed polymorph = 0.000 eV/atom
formation energy from raw total energies = 1.8 eV per formula unit

Cell: 3.0465 4.3081 5.4250 Å, 102.30 90.00 110.71°
Positions (direct):
1 Re 0.7391 0.4782 0.7000
2 Re 0.2609 0.5218 0.3000
3 Si 0.0000 0.0000 0.5000
4 Te 0.5000 0.0000 0.0000


A PBEsol-optimized structure of Ba2TbCl7. Source: Alexandria via LeMat-Bulk, functional SCAN.

## Properties
DFT total energy = -836.4 eV for the cell shown
space group = No. 14
formation energy from raw total energies = -27.4 eV per formula unit

Cell: 6.7857 10.4453 15.4153 Å, 90.00 90.00 90.76°
Positions (direct):
1 Ba 0.7657 0.5498 0.7203
2 Ba 0.2343 0.4502 0.2797
3 Ba 0.2343 0.9502 0.2203
4 Ba 0.7657 0.0498 0.7797
5 Ba 0.2358 0.8238 0.5609
6 Ba 0.7642 0.1762 0.4391
7 Ba 0.7642 0.6762 0.0609
8 Ba 0.2358 0.3238 0.9391
9 Tb 0.2793 0.7823 0.8731
10 Tb 0.7207 0.2177 0.1269
11 Tb 0.7207 0.7177 0.3731
12 Tb 0.2793 0.2823 0.6269
13 Cl 0.6274 0.8792 0.9309
14 Cl 0.3726 0.1208 0.0691
15 Cl 0.3726 0.6208 0.4309
16 Cl 0.6274 0.3792 0.5691
17 Cl 0.0119 0.5847 0.8953
18 Cl 0.9881 0.4153 0.1047
19 Cl 0.9881 0.9153 0.3953
20 Cl 0.0119 0.0847 0.6047
21 Cl 0.2020 0.7874 0.0420
22 Cl 0.7980 0.2126 0.9580
23 Cl 0.7980 0.7126 0.5420
24 Cl 0.2020 0.2874 0.4580
25 Cl 0.2059 0.5318 0.6400
26 Cl 0.7941 0.4682 0.3600
27 Cl 0.7941 0.9682 0.1400
28 Cl 0.2059 0.0318 0.8600
29 Cl 0.0108 0.8030 0.7419
30 Cl 0.9892 0.1970 0.2581
31 Cl 0.9892 0.6970 0.2419
32 Cl 0.0108 0.3030 0.7581
33 Cl 0.5017 0.7968 0.7277
34 Cl 0.4983 0.2032 0.2723
35 Cl 0.4983 0.7032 0.2277
36 Cl 0.5017 0.2968 0.7723
37 Cl 0.5024 0.5717 0.8961
38 Cl 0.4976 0.4283 0.1039
39 Cl 0.4976 0.9283 0.3961
40 Cl 0.5024 0.0717 0.6039


A PBEsol-optimized structure of La2WSe. Source: Alexandria via LeMat-Bulk, functional SCAN.

## Properties
DFT total energy = -175.8 eV for the cell shown
space group = No. 119
ΔE to the lowest computed polymorph = 0.324 eV/atom
formation energy from raw total energies = 0.2 eV per formula unit

Cell: 4.2522 4.2522 5.9829 Å, 110.82 110.82 90.00°
Positions (direct):
1 La 0.0000 0.0000 0.0000
2 La 0.7500 0.2500 0.5000
3 Se 0.5000 0.5000 0.0000
4 W 0.2500 0.7500 0.5000


A PBEsol-optimized structure of Na2O. Source: Alexandria via LeMat-Bulk, functional SCAN.

## Properties
DFT total energy = -37.2 eV for the cell shown
space group = No. 58
formation energy from raw total energies = -3.9 eV per formula unit

Cell: 3.6147 5.2215 5.2538 Å, 90.00 90.00 90.00°
Positions (direct):
1 Na 0.5000 0.8087 0.1917
2 Na 0.0000 0.3087 0.3083
3 Na 0.0000 0.6913 0.6917
4 Na 0.5000 0.1913 0.8083
5 O 0.0000 0.0000 0.0000
6 O 0.5000 0.5000 0.5000


A PBEsol-optimized structure of LaZr2Zn. Source: Alexandria via LeMat-Bulk, functional SCAN.

## Properties
formation enthalpy at 0 K = -82 meV per atom
DFT total energy = -118.3 eV for the cell shown
space group = No. 99

Cell: 3.2331 3.2331 8.7555 Å, 90.00 90.00 90.00°
Positions (direct):
1 Zn 0.5000 0.5000 0.7777
2 Zr 0.0000 0.0000 0.9785
3 Zr 0.5000 0.5000 0.2191
4 La 0.0000 0.0000 0.5246


A PBEsol-optimized structure of YIr3. Source: Alexandria via LeMat-Bulk, functional SCAN.

## Properties
formation enthalpy at 0 K = -731 meV per atom
DFT total energy = -732.2 eV for the cell shown
space group = No. 166

Cell: 5.2492 5.2492 9.1871 Å, 73.40 73.40 60.00°
Positions (direct):
1 Ir 0.5815 0.0829 0.7540
2 Ir 0.0829 0.5815 0.7540
3 Ir 0.5815 0.5815 0.7540
4 Ir 0.4185 0.9171 0.2460
5 Ir 0.4185 0.4185 0.2460
6 Ir 0.9171 0.4185 0.2460
7 Ir 0.3328 0.3328 0.0016
8 Ir 0.6672 0.6672 0.9984
9 Ir 0.5000 0.5000 0.5000
10 Y 0.1394 0.1394 0.5819
11 Y 0.8606 0.8606 0.4181
12 Y 0.0000 0.0000 0.0000


A PBEsol-optimized structure of LiTaO2. Source: Alexandria via LeMat-Bulk, functional SCAN.

## Properties
DFT total energy = -89.7 eV for the cell shown
space group = No. 166
formation energy from raw total energies = -8.2 eV per formula unit

Cell: 2.8933 2.8933 6.4502 Å, 77.04 77.04 60.00°
Positions (direct):
1 Li 0.0000 0.0000 0.0000
2 O 0.9055 0.9055 0.2836
3 O 0.0945 0.0945 0.7164
4 Ta 0.5000 0.5000 0.5000


A PBEsol-optimized structure of Cr2FeTc. Source: Alexandria via LeMat-Bulk, functional SCAN.

## Properties
formation enthalpy at 0 K = 83 meV per atom
DFT total energy = -89.6 eV for the cell shown
space group = No. 123
ΔE to the lowest computed polymorph = 0.020 eV/atom

Cell: 2.9469 4.0069 4.0069 Å, 90.00 90.00 90.00°
Positions (direct):
1 Cr 0.0000 0.0000 0.5000
2 Cr 0.0000 0.5000 0.0000
3 Fe 0.5000 0.5000 0.5000
4 Tc 0.5000 0.0000 0.0000


A PBEsol-optimized structure of SrCr2Br. Source: Alexandria via LeMat-Bulk, functional SCAN.

## Properties
DFT total energy = -78.3 eV for the cell shown
space group = No. 44
formation energy from raw total energies = 0.2 eV per formula unit

Cell: 3.7096 5.6704 5.6704 Å, 61.69 70.91 70.91°
Positions (direct):
1 Br 0.7055 0.7945 0.7945
2 Cr 0.9896 0.0104 0.0104
3 Cr 0.3128 0.1872 0.1872
4 Sr 0.4921 0.5079 0.5079


A PBEsol-optimized structure of Pr2CdPb. Source: Alexandria via LeMat-Bulk, functional SCAN.

## Properties
formation enthalpy at 0 K = -623 meV per atom
DFT total energy = -195.3 eV for the cell shown
space group = No. 225

Cell: 5.4354 5.4354 5.4354 Å, 60.00 60.00 60.00°
Positions (direct):
1 Pb 0.0000 0.0000 0.0000
2 Pr 0.7500 0.7500 0.7500
3 Pr 0.2500 0.2500 0.2500
4 Cd 0.5000 0.5000 0.5000


A PBEsol-optimized structure of YSeN2O. Source: Alexandria via LeMat-Bulk, functional SCAN.

## Properties
DFT total energy = -67.1 eV for the cell shown
space group = No. 123
formation energy from raw total energies = 5.7 eV per formula unit

Cell: 4.4428 4.4428 5.6282 Å, 90.00 90.00 90.00°
Positions (direct):
1 Y 0.0000 0.0000 0.0000
2 O 0.5000 0.5000 0.5000
3 Se 0.0000 0.0000 0.5000
4 N 0.0000 0.5000 0.0000
5 N 0.5000 0.0000 0.0000


Q: What is the DFT total energy in the tenth record?
A: -78.3 eV for the cell shown


Q: Which formula does entry 11 have?
A: Pr2CdPb


Q: Which of these has the highest DFT total energy?
A: Na2O


Q: DFT total energy of number 9 (Cr2FeTc)?
A: -89.6 eV for the cell shown